1.
Entry from Alexandria: crystalline AcPrCdOs at its relaxed geometry (GGA-PBE).

Cell: 7.5482 7.5482 7.5482 Å, 90.00 90.00 90.00°
Space group F-43m (No. 216)
Symmetry-distinct sites (fractional):
Ac 0.0000 0.0000 0.0000 [4 per cell]
Pr 0.0000 0.0000 0.5000 [4 per cell]
Cd 0.2500 0.2500 0.7500 [4 per cell]
Os 0.2500 0.2500 0.2500 [4 per cell]

Computed properties:
Energy relative to the elements: 48 meV per atom

***

2.
Entry from Alexandria: crystalline AcTbCdOs at its relaxed geometry (GGA-PBE).

Cell: 7.4297 7.4297 7.4297 Å, 90.00 90.00 90.00°
Space group F-43m (No. 216)
Symmetry-distinct sites (fractional):
Ac 0.0000 0.0000 0.0000 [4 per cell]
Tb 0.0000 0.0000 0.5000 [4 per cell]
Cd 0.2500 0.2500 0.7500 [4 per cell]
Os 0.2500 0.2500 0.2500 [4 per cell]

Computed properties:
Energy relative to the elements: 9 meV per atom

***

3.
Entry from Alexandria: crystalline AcCdP4 at its relaxed geometry (GGA-PBE).

Cell: 7.8918 7.8918 7.8918 Å, 90.00 90.00 90.00°
Space group F-43m (No. 216)
Symmetry-distinct sites (fractional):
Ac 0.0000 0.0000 0.0000 [4 per cell]
Cd 0.2500 0.2500 0.7500 [4 per cell]
P 0.1087 0.1087 0.3913 [16 per cell]

Computed properties:
Energy relative to the elements: -148 meV per atom

***

4.
Entry from Alexandria: crystalline Ac3CdP at its relaxed geometry (GGA-PBE).

Cell: 5.8494 5.8494 5.8494 Å, 90.00 90.00 90.00°
Space group Pm-3m (No. 221)
Symmetry-distinct sites (fractional):
Ac 0.0000 0.0000 0.5000 [3 per cell]
Cd 0.5000 0.5000 0.5000 [1 per cell]
P 0.0000 0.0000 0.0000 [1 per cell]

Computed properties:
Energy relative to the elements: -451 meV per atom

***

5.
Entry from Alexandria: crystalline Ac2CdP at its relaxed geometry (GGA-PBE).

Cell: 7.8379 7.8379 7.8379 Å, 90.00 90.00 90.00°
Space group Fm-3m (No. 225)
Symmetry-distinct sites (fractional):
Ac 0.2500 0.2500 0.2500 [8 per cell]
Cd 0.0000 0.0000 0.0000 [4 per cell]
P 0.0000 0.0000 0.5000 [4 per cell]

Computed properties:
Relative energy among the computed polymorphs: 0.763 eV/f.u.
Energy relative to the elements: -471 meV per atom

***

6.
Entry from Alexandria: crystalline Ac4Cd2P at its relaxed geometry (GGA-PBE).

Cell: 5.8708 5.8708 16.1134 Å, 90.00 90.00 90.00°
Space group I4/mmm (No. 139)
Symmetry-distinct sites (fractional):
Ac 0.0000 0.0000 0.1853 [4 per cell]
Ac 0.0000 0.5000 0.0000 [4 per cell]
Cd 0.0000 0.0000 0.3877 [4 per cell]
P 0.0000 0.0000 0.0000 [2 per cell]

Computed properties:
Relative energy among the computed polymorphs: 0.872 eV/f.u.
Energy relative to the elements: -397 meV per atom

***

7.
Entry from Alexandria: crystalline AcCd2P at its relaxed geometry (GGA-PBE).

Cell: 4.3824 4.3824 5.5894 Å, 90.00 90.00 90.00°
Space group P4/mmm (No. 123)
Symmetry-distinct sites (fractional):
Ac 0.0000 0.0000 0.0000 [1 per cell]
Cd 0.0000 0.5000 0.5000 [2 per cell]
P 0.5000 0.5000 0.0000 [1 per cell]

Computed properties:
Energy relative to the elements: -470 meV per atom

***

8.
Entry from Alexandria: crystalline Ac2CdP at its relaxed geometry (GGA-PBE).

Cell: 4.1415 4.1415 32.0888 Å, 90.00 90.00 120.00°
Space group R-3m (No. 166, hexagonal axes)
Symmetry-distinct sites (fractional):
Ac 0.0000 0.0000 0.1108 [6 per cell]
Cd 0.0000 0.0000 0.0000 [3 per cell]
P 0.0000 0.0000 0.5000 [3 per cell]

Computed properties:
Relative energy among the computed polymorphs: 0.672 eV/f.u.
Energy relative to the elements: -494 meV per atom

***

9.
Entry from Alexandria: crystalline Ac2CdP at its relaxed geometry (GGA-PBE).

Cell: 3.9086 3.9086 7.8408 Å, 90.00 90.00 90.00°
Space group P4/mmm (No. 123)
Symmetry-distinct sites (fractional):
Ac 0.0000 0.0000 0.2204 [2 per cell]
Cd 0.5000 0.5000 0.5000 [1 per cell]
P 0.5000 0.5000 0.0000 [1 per cell]

Computed properties:
Relative energy among the computed polymorphs: 0.000 eV/f.u.
Energy relative to the elements: -662 meV per atom

***

10.
Entry from Alexandria: crystalline Ac12Cd5P3 at its relaxed geometry (GGA-PBE).

Cell: 18.7333 18.7333 18.7333 Å, 90.00 90.00 90.00°
Space group Ia-3d (No. 230)
Symmetry-distinct sites (fractional):
Ac 0.0177 0.0833 0.6484 [96 per cell]
Cd 0.0000 0.0000 0.0000 [16 per cell]
Cd 0.0000 0.2500 0.3750 [24 per cell]
P 0.0000 0.2500 0.1250 [24 per cell]

Computed properties:
Energy relative to the elements: -10 meV per atom

***

11.
Entry from Alexandria: crystalline Ac4Cd2P at its relaxed geometry (GGA-PBE).

Cell: 14.3709 4.4445 9.5811 Å, 90.00 123.92 90.00°
Space group C2/m (No. 12)
Symmetry-distinct sites (fractional):
Ac 0.0914 0.0000 0.3702 [4 per cell]
Ac 0.1651 0.5000 0.0770 [4 per cell]
Cd 0.1169 0.5000 0.6714 [4 per cell]
P 0.0000 0.0000 0.0000 [2 per cell]

Computed properties:
Relative energy among the computed polymorphs: 0.000 eV/f.u.
Energy relative to the elements: -521 meV per atom

***

12.
Entry from Alexandria: crystalline AcCdP2Pd5 at its relaxed geometry (GGA-PBE).

Cell: 4.5668 4.5668 8.7261 Å, 90.00 90.00 90.00°
Space group P4/mmm (No. 123)
Symmetry-distinct sites (fractional):
Ac 0.0000 0.0000 0.0000 [1 per cell]
Cd 0.0000 0.0000 0.5000 [1 per cell]
P 0.5000 0.5000 0.2650 [2 per cell]
Pd 0.0000 0.5000 0.3124 [4 per cell]
Pd 0.5000 0.5000 0.0000 [1 per cell]

Computed properties:
Energy relative to the elements: -564 meV per atom

***

| no. | size of the total moment (μB/f.u.) |
| --- | --- |
| 1 | 0.00 |
| 2 | 0.00 |
| 3 | 0.00 |
| 4 | 0.00 |
| 5 | 0.00 |
| 6 | 0.00 |
| 7 | 0.00 |
| 8 | 0.00 |
| 9 | 0.00 |
| 10 | 0.00 |
| 11 | 0.00 |
| 12 | 0.00 |